## Sc2CuAg (PBEsol)

Data for a geometry-optimized Sc2CuAg structure.

Results
The calculated total energy is -0.40202 Ry/atom. The value obtained for the energy of formation from the pure elements is -0.256 eV per atom.

Geometry as POSCAR:
```
Sc2CuAg
1.0
3.310 0.000 0.000
0.000 4.666 0.000
0.000 0.000 4.667
Sc Cu Ag
2 1 1
Cartesian
0.000 0.000 0.000 Sc
0.000 2.333 2.319 Sc
1.655 0.000 2.346 Cu
1.655 2.333 4.643 Ag
```